[1]
CrFeSe2Br at its PBEsol-relaxed geometry, computed with SCAN.

Geometry as POSCAR:
```
CrFeSe2Br
1.0
-0.247 2.588 3.804
-3.035 -2.955 1.813
3.801 -2.648 2.049
Cr Se Br Fe
1 2 1 1
Cartesian
0.259 -1.507 3.833
-1.518 -1.477 0.907
-0.124 1.294 1.902
1.901 -1.324 1.024
0.000 0.000 0.000
```

## Properties
Space group ... P4/mmm
Raw formation energy ... 225.1 meV/atom



[2]
YBeRe2Mo at its PBEsol-relaxed geometry, computed with SCAN.

Geometry as POSCAR:
```
YBeRe2Mo
1.0
4.678 0.000 0.000
0.000 4.699 0.000
0.000 0.000 4.699
Y Re Mo Be
1 2 1 1
Cartesian
0.000 0.000 0.000
0.000 0.000 2.349
0.000 2.349 0.000
2.339 0.000 0.000
2.339 2.349 2.349
```

## Properties
Space group ... P4/mmm
Energy of formation ... 3288.1 meV/atom



[3]
CuRh2 at its PBEsol-relaxed geometry, computed with SCAN.

Geometry as POSCAR:
```
CuRh2
1.0
2.678 0.000 0.000
0.000 3.688 0.000
-1.339 -1.844 3.916
Rh Cu
2 1
Cartesian
0.000 0.000 2.611
1.339 1.844 1.305
0.000 0.000 0.000
```

## Properties
Space group ... Immm
Energy of formation ... 63.8 meV/atom
Relative energy among the computed polymorphs ... 17 meV per atom



[4]
LaZrRu2 at its PBEsol-relaxed geometry, computed with SCAN.

Geometry as POSCAR:
```
LaZrRu2
1.0
-2.808 2.035 -1.235
-1.746 -0.463 3.207
2.528 4.737 2.060
La Ru Zr
1 2 1
Cartesian
-0.205 4.670 2.675
2.387 4.475 1.946
-1.507 2.230 1.614
1.089 2.040 0.887
```

## Properties
Space group ... P4mm
Energy of formation ... 75.4 meV/atom



[5]
TaAuSN2 at its PBEsol-relaxed geometry, computed with SCAN.

Geometry as POSCAR:
```
TaAuSN2
1.0
-1.801 2.531 2.357
-0.450 -2.806 2.669
4.624 1.295 2.142
S N Au Ta
1 2 1 1
Cartesian
2.312 0.648 1.071
-0.225 -1.403 1.334
-0.900 1.265 1.178
1.187 0.510 3.584
0.000 0.000 0.000
```

## Properties
Space group ... P4/mmm
Raw formation energy ... 323.3 meV/atom



[6]
Y2BeCr at its PBEsol-relaxed geometry, computed with SCAN.

Geometry as POSCAR:
```
Y2BeCr
1.0
3.947 0.000 0.000
1.973 3.418 0.000
1.973 1.139 6.551
Y Cr Be
2 1 1
Cartesian
5.920 3.418 0.652
5.920 3.418 4.270
1.973 1.139 2.466
3.947 2.279 2.439
```

## Properties
Space group ... R3m
Energy of formation ... 114.1 meV/atom



[7]
K2PtPb at its PBEsol-relaxed geometry, computed with SCAN.

Geometry as POSCAR:
```
K2PtPb
1.0
-0.078 4.286 2.006
-1.765 -0.576 -4.420
-4.919 -2.360 4.851
Pb K Pt
1 2 1
Cartesian
-3.496 0.551 -1.313
-0.453 -0.087 0.167
-4.131 -0.890 1.742
-2.946 2.162 0.850
```

## Properties
Space group ... Cm
Energy of formation ... -239.3 meV/atom



[8]
SrPtSe2 at its PBEsol-relaxed geometry, computed with SCAN.

Geometry as POSCAR:
```
SrPtSe2
1.0
3.954 0.000 0.000
-1.977 3.536 0.000
0.000 0.000 7.131
Pt Se Sr
1 2 1
Cartesian
1.977 0.000 0.000
0.000 0.000 5.649
0.000 0.000 1.482
1.977 0.000 3.565
```

## Properties
Space group ... Cmmm
Raw formation energy ... -822.8 meV/atom
Relative energy among the computed polymorphs ... 267 meV per atom